Entry 1:
## Sm13Y2 (PBE)

Data for a geometry-optimized Sm13Y2 structure.

Cell: 6.7276 9.0835 9.0862 Å, 66.27 82.12 82.14°
Closest atoms and distances in Å follow each position.
Atoms (fractional coordinates):
Sm 0.0000 0.0000 0.0000  12 Sm 3.52-3.77, 2 Y 3.72
Sm 0.1024 0.7657 0.4356  3 Sm 3.28-3.51, 2 Y 3.33-3.54
Sm 0.1957 0.2045 0.1970  12 Sm 3.52-3.82, 2 Y 3.69-3.72
Sm 0.2979 0.9730 0.6291  5 Sm 3.29-3.51
Sm 0.3075 0.6390 0.9605  4 Sm 3.30-3.69, 2 Y 3.35-3.55
Sm 0.3975 0.4031 0.3985  11 Sm 3.52-3.82, 3 Y 3.73-3.78
Sm 0.4959 0.8353 0.1682  4 Sm 3.28-3.51, 1 Y 3.34
Sm 0.5041 0.1647 0.8318  4 Sm 3.28-3.51, 1 Y 3.34
Sm 0.6025 0.5969 0.6015  11 Sm 3.52-3.82, 3 Y 3.73-3.78
Sm 0.6925 0.3610 0.0395  4 Sm 3.30-3.69, 2 Y 3.35-3.55
Sm 0.7021 0.0270 0.3709  5 Sm 3.29-3.51
Sm 0.8043 0.7955 0.8030  12 Sm 3.52-3.82, 2 Y 3.69-3.72
Sm 0.8976 0.2343 0.5644  3 Sm 3.28-3.51, 2 Y 3.33-3.54
Y 0.0976 0.4303 0.7703  8 Sm 3.33-3.72
Y 0.9024 0.5697 0.2297  8 Sm 3.33-3.72

Computed properties:
**ΔE_f**: 0.0605 eV/atom
**Mass density**: 7.06 g/cm3
**VASP energy**: -73.37 eV for the cell shown

Entry 2:
## Dy2TmHg8 (PBE)

Data for a geometry-optimized Dy2TmHg8 structure.

Cell: 8.3440 8.3440 7.2057 Å, 108.29 108.29 34.29°
Closest atoms and distances in Å follow each position.
Atoms (fractional coordinates):
Dy 0.2151 0.2151 0.1567  10 Hg 3.12-3.33
Dy 0.7849 0.7849 0.8433  10 Hg 3.12-3.33
Tm 0.5000 0.5000 0.5000  12 Hg 3.03-3.38
Hg 0.0279 0.0279 0.2307  7 Hg 3.11-3.29, 1 Dy 3.20, 2 Tm 3.25
Hg 0.1499 0.1499 0.6798  7 Hg 3.11-3.41, 3 Dy 3.23-3.25, 2 Tm 3.38
Hg 0.3300 0.3300 0.6008  1 Tm 3.03, 6 Hg 3.05-3.29, 3 Dy 3.12-3.23
Hg 0.4029 0.4029 0.0491  6 Hg 3.05-3.41, 1 Tm 3.11, 3 Dy 3.15-3.33
Hg 0.5971 0.5971 0.9509  6 Hg 3.05-3.41, 1 Tm 3.11, 3 Dy 3.15-3.33
Hg 0.6700 0.6700 0.3992  1 Tm 3.03, 6 Hg 3.05-3.29, 3 Dy 3.12-3.23
Hg 0.8501 0.8501 0.3202  7 Hg 3.11-3.41, 3 Dy 3.23-3.25, 2 Tm 3.38
Hg 0.9721 0.9721 0.7693  7 Hg 3.11-3.29, 1 Dy 3.20, 2 Tm 3.25

Computed properties:
**ΔE_f**: -0.3020 eV/atom
**Mass density**: 13.06 g/cm3
**VASP energy**: -19.41 eV for the cell shown

Entry 3:
## Rb2PrMn2Se4 (PBE)

Data for a geometry-optimized Rb2PrMn2Se4 structure.

Cell: 8.2181 8.2181 8.2698 Å, 108.80 108.80 30.29°
Closest atoms and distances in Å follow each position.
Atoms (fractional coordinates):
Rb 0.1315 0.1315 0.0528  7 Se 3.55-3.71, 1 Rb 3.97
Rb 0.8685 0.8685 0.9472  7 Se 3.55-3.71, 1 Rb 3.97
Pr 0.0000 0.0000 0.5000  6 Se 3.01-3.04
Mn 0.3218 0.3218 0.5167  4 Se 2.52-2.60
Mn 0.6782 0.6782 0.4833  4 Se 2.52-2.60
Se 0.2022 0.2022 0.6686  3 Mn 2.59-2.60
Se 0.4764 0.4764 0.7360  1 Mn 2.52
Se 0.5236 0.5236 0.2640  1 Mn 2.52
Se 0.7978 0.7978 0.3314  3 Mn 2.59-2.60

Computed properties:
**Formation energy without anion corrections**: -1.08 eV/atom
**Mass density**: 4.61 g/cm3
**VASP energy**: -48.75 eV for the cell shown

Entry 4:
## LiLuGe4 (PBE)

Data for a geometry-optimized LiLuGe4 structure.

Cell: 5.5135 5.5135 5.5135 Å, 60.00 60.00 60.00°
Closest atoms and distances in Å follow each position.
Atoms (fractional coordinates):
Li 0.0000 0.0000 0.0000  12 Ge 3.23, 4 Lu 3.38
Lu 0.2500 0.2500 0.2500  12 Ge 3.23, 4 Li 3.38
Ge 0.1244 0.6252 0.6252  6 Ge 2.75-2.76
Ge 0.6252 0.1244 0.6252  6 Ge 2.75-2.76
Ge 0.6252 0.6252 0.1244  6 Ge 2.75-2.76
Ge 0.6252 0.6252 0.6252  6 Ge 2.75-2.76

Computed properties:
**ΔE_f**: -0.2263 eV/atom
**Mass density**: 6.62 g/cm3
**VASP energy**: -26.26 eV for the cell shown

Entry 5:
## SrAs2Se (PBE)

Data for a geometry-optimized SrAs2Se structure.

Cell: 4.1590 4.1590 5.6878 Å, 90.00 90.00 90.00°
Closest atoms and distances in Å follow each position.
Atoms (fractional coordinates):
Sr 0.0000 0.0000 0.0000  4 Se 2.94
As 0.0000 0.5000 0.5000  4 As 2.94
As 0.5000 0.0000 0.5000  4 As 2.94
Se 0.5000 0.5000 0.0000  4 Sr 2.94

Computed properties:
**Formation energy without anion corrections**: -0.46 eV/atom
**Mass density**: 5.34 g/cm3
**VASP energy**: -16.30 eV for the cell shown

Entry 6:
## SrPr2Al6 (PBE)

Data for a geometry-optimized SrPr2Al6 structure.

Cell: 7.9221 7.9221 4.0717 Å, 90.00 90.00 120.00°
Closest atoms and distances in Å follow each position.
Atoms (fractional coordinates):
Sr 0.0000 0.0000 0.0000  12 Al 3.36
Pr 0.3333 0.6667 0.0000  12 Al 3.32
Pr 0.6667 0.3333 0.0000  12 Al 3.32
Al 0.0000 0.3370 0.5000  3 Al 2.58-2.67
Al 0.0000 0.6630 0.5000  3 Al 2.58-2.67
Al 0.3370 0.0000 0.5000  3 Al 2.58-2.67
Al 0.3370 0.3370 0.5000  3 Al 2.58-2.67
Al 0.6630 0.0000 0.5000  3 Al 2.58-2.67
Al 0.6630 0.6630 0.5000  3 Al 2.58-2.67

Computed properties:
**ΔE_f**: -0.3628 eV/atom
**Mass density**: 3.99 g/cm3
**VASP energy**: -36.96 eV for the cell shown

Entry 7:
## LiCeCd (PBE)

Data for a geometry-optimized LiCeCd structure.

Cell: 13.1829 13.1829 13.1829 Å, 166.26 166.26 19.48°
Closest atoms and distances in Å follow each position.
Atoms (fractional coordinates):
Li 0.2166 0.2166 0.0000  8 Li 2.83-3.15, 4 Cd 2.83
Li 0.7834 0.7834 0.0000  8 Li 2.83-3.15, 4 Cd 2.83
Ce 0.0512 0.0512 0.0000  1 Ce 2.66
Ce 0.9488 0.9488 0.0000  1 Ce 2.66
Cd 0.3501 0.3501 0.0000  4 Li 2.83, 4 Cd 3.15
Cd 0.6499 0.6499 0.0000  4 Li 2.83, 4 Cd 3.15

Computed properties:
**ΔE_f**: -0.1071 eV/atom
**Mass density**: 6.66 g/cm3
**VASP energy**: -18.17 eV for the cell shown
**Energy above the most stable polymorph in this dataset**: 0.41 kcal/mol of atoms

Entry 8:
## Sn2Pd3Se2 (PBE)

Data for a geometry-optimized Sn2Pd3Se2 structure.

Cell: 5.8848 5.8848 5.8848 Å, 60.39 60.39 60.39°
Closest atoms and distances in Å follow each position.
Atoms (fractional coordinates):
Sn 0.0000 0.0000 0.0000  6 Pd 2.96, 2 Se 2.98
Sn 0.5000 0.5000 0.5000  6 Pd 2.94
Pd 0.0000 0.5000 0.5000  2 Se 2.49
Pd 0.5000 0.0000 0.5000  2 Se 2.49
Pd 0.5000 0.5000 0.0000  2 Se 2.49
Se 0.2072 0.2072 0.2072  3 Pd 2.49
Se 0.7928 0.7928 0.7928  3 Pd 2.49

Computed properties:
**Formation energy without anion corrections**: -0.40 eV/atom
**Mass density**: 8.16 g/cm3
**VASP energy**: -33.39 eV for the cell shown
**Energy above the most stable polymorph in this dataset**: 0.00 kcal/mol of atoms

Entry 9:
## CaSiW2 (PBE)

Data for a geometry-optimized CaSiW2 structure.

Cell: 2.8258 2.8258 9.0903 Å, 90.00 90.00 105.47°
Closest atoms and distances in Å follow each position.
Atoms (fractional coordinates):
Ca 0.0000 0.0000 0.0000  4 Ca 2.83, 4 W 3.16
Si 0.0000 0.0000 0.5000  4 W 2.55, 4 Si 2.83
W 0.5000 0.5000 0.2920  2 Si 2.55, 4 W 2.83
W 0.5000 0.5000 0.7080  2 Si 2.55, 4 W 2.83

Computed properties:
**Formation energy without anion corrections**: 0.49 eV/atom
**Mass density**: 10.35 g/cm3
**VASP energy**: -31.38 eV for the cell shown

Entry 10:
## TlCd2W (PBE)

Data for a geometry-optimized TlCd2W structure.

Cell: 5.5605 5.5605 5.5605 Å, 136.12 136.12 63.79°
Closest atoms and distances in Å follow each position.
Atoms (fractional coordinates):
Tl 0.0000 0.0000 0.0000  8 Cd 2.94-3.14, 4 W 3.14
Cd 0.5000 0.5000 0.0000  4 Tl 2.94, 4 Cd 3.14, 4 W 3.14
Cd 0.7500 0.2500 0.5000  4 W 2.94, 4 Cd 3.14, 4 Tl 3.14
W 0.2500 0.7500 0.5000  8 Cd 2.94-3.14, 4 Tl 3.14

Computed properties:
**ΔE_f**: 0.8219 eV/atom
**Mass density**: 12.49 g/cm3
**VASP energy**: -13.86 eV for the cell shown
**Energy above the most stable polymorph in this dataset**: 6.64 kcal/mol of atoms

Entry 11:
## EuTlAgPd (PBE)

Data for a geometry-optimized EuTlAgPd structure.

Cell: 5.0486 5.0486 5.0486 Å, 60.00 60.00 60.00°
Closest atoms and distances in Å follow each position.
Atoms (fractional coordinates):
Eu 0.0000 0.0000 0.0000  4 Pd 3.09, 4 Ag 3.09
Tl 0.5000 0.5000 0.5000  4 Pd 3.09, 4 Ag 3.09
Ag 0.7500 0.7500 0.7500  4 Tl 3.09, 4 Eu 3.09
Pd 0.2500 0.2500 0.2500  4 Tl 3.09, 4 Eu 3.09

Computed properties:
**ΔE_f**: -0.3052 eV/atom
**Mass density**: 10.41 g/cm3
**VASP energy**: -21.91 eV for the cell shown

Entry 12:
## CaEuNi2 (PBE)

Data for a geometry-optimized CaEuNi2 structure.

Cell: 4.8878 4.8878 3.4550 Å, 90.00 90.00 90.00°
Closest atoms and distances in Å follow each position.
Atoms (fractional coordinates):
Ca 0.0000 0.0000 0.0000  8 Ni 2.99
Eu 0.5000 0.5000 0.0000  8 Ni 2.99
Ni 0.0000 0.5000 0.5000  4 Ca 2.99, 4 Eu 2.99
Ni 0.5000 0.0000 0.5000  4 Ca 2.99, 4 Eu 2.99

Computed properties:
**ΔE_f**: 0.0046 eV/atom
**Mass density**: 6.22 g/cm3
**VASP energy**: -23.82 eV for the cell shown
**Energy above the most stable polymorph in this dataset**: 0.00 kcal/mol of atoms